Entry 1:
Below is crystalline LiGdErRu at its relaxed geometry, with properties calculated at the GGA-PBE level.

Output
DFT formation energy   -1.1 eV/f.u.
Space-group type   F-43m

Cell: 4.9095 4.9095 4.9095 Å, 60.00 60.00 60.00°
Positions (direct):
Er 0.5000 0.5000 0.5000
Gd 0.0000 0.0000 0.0000
Li 0.2500 0.2500 0.2500
Ru 0.7500 0.7500 0.7500

=====

Entry 2:
Below is crystalline ScPOs2Se at its relaxed geometry, with properties calculated at the GGA-PBE level.

Output
Space-group type   P4/mmm
Energy relative to the elements, uncorrected   0.366 eV per atom

Cell: 4.3511 4.9894 4.3511 Å, 90.00 90.00 90.00°
Positions (direct):
Os 0.5000 0.0000 0.0000
Os 0.0000 0.0000 0.5000
Sc 0.0000 0.5000 0.0000
Se 0.5000 0.5000 0.5000
P 0.0000 0.0000 0.0000

=====

Entry 3:
Below is crystalline NaTl3Pd3 at its relaxed geometry, with properties calculated at the GGA-PBE level.

Output
DFT formation energy   1.0 eV/f.u.
Space-group type   Pm-3n

Cell: 7.5839 7.5839 7.5839 Å, 90.00 90.00 90.00°
Positions (direct):
Pd 0.7500 0.5000 0.0000
Pd 0.0000 0.2500 0.5000
Pd 0.2500 0.5000 0.0000
Pd 0.5000 0.0000 0.7500
Pd 0.0000 0.7500 0.5000
Pd 0.5000 0.0000 0.2500
Tl 0.0000 0.5000 0.7500
Tl 0.5000 0.2500 0.0000
Tl 0.2500 0.0000 0.5000
Tl 0.5000 0.7500 0.0000
Tl 0.0000 0.5000 0.2500
Tl 0.7500 0.0000 0.5000
Na 0.0000 0.0000 0.0000
Na 0.5000 0.5000 0.5000